Entry 1:
The following is a GGA-PBE calculation of a relaxed structure of Pr2AlBr, from Alexandria via LeMat-Bulk.

Results
Magnetic moment ... 0.00 μB/f.u.
E_tot ... -4.47 eV per atom
Formation energy from raw total energies ... -0.72 eV/atom

a = 3.9449 Å, b = 3.9449 Å, c = 26.1963 Å
α = 90.00°, β = 90.00°, γ = 120.00°
Space group R-3m (No. 166, hexagonal axes)
Inequivalent atoms, fractional coordinates:
Pr1 0.0000 0.0000 0.2452 [6 per cell]
Al1 0.0000 0.0000 0.5000 [3 per cell]
Br1 0.0000 0.0000 0.0000 [3 per cell]


Entry 2:
The following is a GGA-PBE calculation of a relaxed structure of K3TmPa3Te8, from Alexandria via LeMat-Bulk.

Results
Magnetic moment ... 5.03 μB/f.u.
E_tot ... -5.11 eV per atom
Formation energy from raw total energies ... -1.02 eV/atom

a = 8.7551 Å, b = 8.7551 Å, c = 25.6930 Å
α = 90.00°, β = 90.00°, γ = 120.00°
Space group R-3m (No. 166, hexagonal axes)
Inequivalent atoms, fractional coordinates:
K1 0.0000 0.5000 0.0000 [9 per cell]
Tm1 0.0000 0.0000 0.5000 [3 per cell]
Pa1 0.0000 0.5000 0.5000 [9 per cell]
Te1 0.0000 0.0000 0.2386 [6 per cell]
Te2 0.0025 0.5012 0.2364 [18 per cell]